(1)
Density functional theory data (PBE) for a geometry-optimized Dy4TlGe2 structure.

The structure in CIF format:
```
data_Dy4TlGe2
_symmetry_space_group_name_H-M 'R -3 m'
_symmetry_Int_Tables_number 166
_symmetry_space_group_name_Hall '-R 3 2"'
_cell_length_a 4.6644
_cell_length_b 4.6644
_cell_length_c 31.3615
_cell_angle_alpha 90.00
_cell_angle_beta 90.00
_cell_angle_gamma 120.00
loop_
_atom_site_label
_atom_site_type_symbol
_atom_site_fract_x
_atom_site_fract_y
_atom_site_fract_z
Dy1 Dy 0.0000 0.0000 0.1144
Dy2 Dy 0.0000 0.0000 0.2980
Tl1 Tl 0.0000 0.0000 0.5000
Ge1 Ge 0.0000 0.0000 0.4000
```



(2)
Density functional theory data (PBE) for a geometry-optimized DyTl2Ge structure.

The structure in CIF format:
```
data_DyTl2Ge
_symmetry_space_group_name_H-M 'P 4/m m m'
_symmetry_Int_Tables_number 123
_symmetry_space_group_name_Hall '-P 4 2'
_cell_length_a 4.429
_cell_length_b 4.429
_cell_length_c 5.076
_cell_angle_alpha 90.00
_cell_angle_beta 90.00
_cell_angle_gamma 90.00
loop_
_atom_site_label
_atom_site_type_symbol
_atom_site_fract_x
_atom_site_fract_y
_atom_site_fract_z
Dy1 Dy 0.000 0.000 0.000
Tl1 Tl 0.000 0.500 0.500
Ge1 Ge 0.500 0.500 0.000
```

Properties
Energy above the lowest structure with this stoichiometry: 0 kJ/mol of formula units



(3)
Density functional theory data (PBE) for a geometry-optimized Dy5Tl2Ge structure.

The structure in CIF format:
```
data_Dy5Tl2Ge
_symmetry_space_group_name_H-M 'P b a m'
_symmetry_Int_Tables_number 55
_symmetry_space_group_name_Hall '-P 2 2ab'
_cell_length_a 7.064
_cell_length_b 12.669
_cell_length_c 4.935
_cell_angle_alpha 90.00
_cell_angle_beta 90.00
_cell_angle_gamma 90.00
loop_
_atom_site_label
_atom_site_type_symbol
_atom_site_fract_x
_atom_site_fract_y
_atom_site_fract_z
Dy1 Dy 0.000 0.000 0.000
Dy2 Dy 0.140 0.281 0.000
Dy3 Dy 0.171 0.587 0.500
Tl1 Tl 0.100 0.839 0.500
Ge1 Ge 0.000 0.500 0.000
```



(4)
Density functional theory data (PBE) for a geometry-optimized Dy2TlGe structure.

The structure in CIF format:
```
data_Dy2TlGe
_symmetry_space_group_name_H-M 'R -3 m'
_symmetry_Int_Tables_number 166
_symmetry_space_group_name_Hall '-R 3 2"'
_cell_length_a 4.1201
_cell_length_b 4.1201
_cell_length_c 23.1870
_cell_angle_alpha 90.00
_cell_angle_beta 90.00
_cell_angle_gamma 120.00
loop_
_atom_site_label
_atom_site_type_symbol
_atom_site_fract_x
_atom_site_fract_y
_atom_site_fract_z
Dy1 Dy 0.0000 0.0000 0.2347
Tl1 Tl 0.0000 0.0000 0.0000
Ge1 Ge 0.0000 0.0000 0.5000
```



(5)
Density functional theory data (PBE) for a geometry-optimized Dy7Tl2Ge2 structure.

The structure in CIF format:
```
data_Dy7Tl2Ge2
_symmetry_space_group_name_H-M 'C m m m'
_symmetry_Int_Tables_number 65
_symmetry_space_group_name_Hall '-C 2 2'
_cell_length_a 8.319
_cell_length_b 10.923
_cell_length_c 7.139
_cell_angle_alpha 90.00
_cell_angle_beta 90.00
_cell_angle_gamma 90.00
loop_
_atom_site_label
_atom_site_type_symbol
_atom_site_fract_x
_atom_site_fract_y
_atom_site_fract_z
Dy1 Dy 0.000 0.000 0.000
Dy2 Dy 0.000 0.500 0.249
Dy3 Dy 0.250 0.250 0.266
Tl1 Tl 0.181 0.000 0.500
Ge1 Ge 0.000 0.279 0.000
```



(6)
Density functional theory data (PBE) for a geometry-optimized DyTl2Ge structure.

The structure in CIF format:
```
data_DyTl2Ge
_symmetry_space_group_name_H-M 'R -3 m'
_symmetry_Int_Tables_number 166
_symmetry_space_group_name_Hall '-R 3 2"'
_cell_length_a 3.4920
_cell_length_b 3.4920
_cell_length_c 32.9176
_cell_angle_alpha 90.00
_cell_angle_beta 90.00
_cell_angle_gamma 120.00
loop_
_atom_site_label
_atom_site_type_symbol
_atom_site_fract_x
_atom_site_fract_y
_atom_site_fract_z
Dy1 Dy 0.0000 0.0000 0.0000
Tl1 Tl 0.0000 0.0000 0.0948
Ge1 Ge 0.0000 0.0000 0.5000
```

Properties
Energy above the lowest structure with this stoichiometry: 175 kJ/mol of formula units



(7)
Density functional theory data (PBE) for a geometry-optimized Dy5Tl2Ge2 structure.

The structure in CIF format:
```
data_Dy5Tl2Ge2
_symmetry_space_group_name_H-M 'C m c e'
_symmetry_Int_Tables_number 64
_symmetry_space_group_name_Hall '-C 2ac 2'
_cell_length_a 15.730
_cell_length_b 7.812
_cell_length_c 7.803
_cell_angle_alpha 90.00
_cell_angle_beta 90.00
_cell_angle_gamma 90.00
loop_
_atom_site_label
_atom_site_type_symbol
_atom_site_fract_x
_atom_site_fract_y
_atom_site_fract_z
Dy1 Dy 0.000 0.000 0.000
Dy2 Dy 0.125 0.174 0.330
Tl1 Tl 0.216 0.000 0.000
Ge1 Ge 0.000 0.133 0.636
```



(8)
Density functional theory data (PBE) for a geometry-optimized DyYTlGe structure.

The structure in CIF format:
```
data_DyYTlGe
_symmetry_space_group_name_H-M 'F -4 3 m'
_symmetry_Int_Tables_number 216
_symmetry_space_group_name_Hall 'F -4 2 3'
_cell_length_a 7.390
_cell_length_b 7.390
_cell_length_c 7.390
_cell_angle_alpha 90.00
_cell_angle_beta 90.00
_cell_angle_gamma 90.00
loop_
_atom_site_label
_atom_site_type_symbol
_atom_site_fract_x
_atom_site_fract_y
_atom_site_fract_z
Dy1 Dy 0.000 0.000 0.000
Y1 Y 0.000 0.000 0.500
Tl1 Tl 0.250 0.250 0.250
Ge1 Ge 0.250 0.250 0.750
```



(9)
Density functional theory data (PBE) for a geometry-optimized DyTmGe2 structure.

The structure in CIF format:
```
data_DyTmGe2
_symmetry_space_group_name_H-M 'R -3 m'
_symmetry_Int_Tables_number 166
_symmetry_space_group_name_Hall '-R 3 2"'
_cell_length_a 3.8740
_cell_length_b 3.8740
_cell_length_c 22.6040
_cell_angle_alpha 90.00
_cell_angle_beta 90.00
_cell_angle_gamma 120.00
loop_
_atom_site_label
_atom_site_type_symbol
_atom_site_fract_x
_atom_site_fract_y
_atom_site_fract_z
Dy1 Dy 0.0000 0.0000 0.0000
Tm1 Tm 0.0000 0.0000 0.5000
Ge1 Ge 0.0000 0.0000 0.2490
```



(10)
Density functional theory data (PBE) for a geometry-optimized Dy2Tm3Ge4 structure.

The structure in CIF format:
```
data_Dy2Tm3Ge4
_symmetry_space_group_name_H-M 'P 1 21/c 1'
_symmetry_Int_Tables_number 14
_symmetry_space_group_name_Hall '-P 2ybc'
_cell_length_a 7.872
_cell_length_b 7.711
_cell_length_c 7.527
_cell_angle_alpha 90.00
_cell_angle_beta 112.23
_cell_angle_gamma 90.00
loop_
_atom_site_label
_atom_site_type_symbol
_atom_site_fract_x
_atom_site_fract_y
_atom_site_fract_z
Dy1 Dy 0.198 0.180 0.060
Tm1 Tm 0.239 0.662 0.229
Tm2 Tm 0.500 0.000 0.500
Ge1 Ge 0.087 0.536 0.825
Ge2 Ge 0.491 0.133 0.868
```



(11)
Density functional theory data (PBE) for a geometry-optimized DyTmGe2 structure.

The structure in CIF format:
```
data_DyTmGe2
_symmetry_space_group_name_H-M 'A m m 2'
_symmetry_Int_Tables_number 38
_symmetry_space_group_name_Hall 'A 2 -2'
_cell_length_a 3.951
_cell_length_b 4.246
_cell_length_c 10.661
_cell_angle_alpha 90.00
_cell_angle_beta 90.00
_cell_angle_gamma 90.00
loop_
_atom_site_label
_atom_site_type_symbol
_atom_site_fract_x
_atom_site_fract_y
_atom_site_fract_z
Dy1 Dy 0.000 0.000 0.000
Tm1 Tm 0.500 0.000 0.724
Ge1 Ge 0.000 0.000 0.275
Ge2 Ge 0.500 0.000 0.448
```



(12)
Density functional theory data (PBE) for a geometry-optimized Dy5TmGe4 structure.

The structure in CIF format:
```
data_Dy5TmGe4
_symmetry_space_group_name_H-M 'C 1 2/m 1'
_symmetry_Int_Tables_number 12
_symmetry_space_group_name_Hall '-C 2y'
_cell_length_a 15.229
_cell_length_b 4.917
_cell_length_c 6.879
_cell_angle_alpha 90.00
_cell_angle_beta 90.28
_cell_angle_gamma 90.00
loop_
_atom_site_label
_atom_site_type_symbol
_atom_site_fract_x
_atom_site_fract_y
_atom_site_fract_z
Dy1 Dy 0.000 0.000 0.000
Dy2 Dy 0.165 0.500 0.506
Dy3 Dy 0.165 0.500 0.994
Tm1 Tm 0.000 0.000 0.500
Ge1 Ge 0.010 0.500 0.253
Ge2 Ge 0.178 0.000 0.749
```



(13)
Density functional theory data (PBE) for a geometry-optimized Dy2Tm2Ge3 structure.

The structure in CIF format:
```
data_Dy2Tm2Ge3
_symmetry_space_group_name_H-M 'C 1 2/m 1'
_symmetry_Int_Tables_number 12
_symmetry_space_group_name_Hall '-C 2y'
_cell_length_a 13.715
_cell_length_b 4.177
_cell_length_c 7.538
_cell_angle_alpha 90.00
_cell_angle_beta 106.01
_cell_angle_gamma 90.00
loop_
_atom_site_label
_atom_site_type_symbol
_atom_site_fract_x
_atom_site_fract_y
_atom_site_fract_z
Dy1 Dy 0.126 0.000 0.401
Tm1 Tm 0.157 0.500 0.839
Ge1 Ge 0.000 0.500 0.500
Ge2 Ge 0.219 0.500 0.233
```



(14)
Density functional theory data (PBE) for a geometry-optimized Dy5Tm2Ge4 structure.

The structure in CIF format:
```
data_Dy5Tm2Ge4
_symmetry_space_group_name_H-M 'C 1 2/m 1'
_symmetry_Int_Tables_number 12
_symmetry_space_group_name_Hall '-C 2y'
_cell_length_a 21.265
_cell_length_b 3.738
_cell_length_c 7.888
_cell_angle_alpha 90.00
_cell_angle_beta 96.89
_cell_angle_gamma 90.00
loop_
_atom_site_label
_atom_site_type_symbol
_atom_site_fract_x
_atom_site_fract_y
_atom_site_fract_z
Dy1 Dy 0.000 0.000 0.000
Dy2 Dy 0.104 0.500 0.420
Dy3 Dy 0.159 0.500 0.972
Tm1 Tm 0.233 0.000 0.667
Ge1 Ge 0.025 0.500 0.728
Ge2 Ge 0.103 0.000 0.709
```



(15)
Density functional theory data (PBE) for a geometry-optimized DyTm4Ge4 structure.

The structure in CIF format:
```
data_DyTm4Ge4
_symmetry_space_group_name_H-M 'P 42/n'
_symmetry_Int_Tables_number 86
_cell_length_a 9.088
_cell_length_b 9.088
_cell_length_c 5.728
_cell_angle_alpha 90.00
_cell_angle_beta 90.00
_cell_angle_gamma 90.00
loop_
_symmetry_equiv_pos_as_xyz
'x,y,z'
'-x,-y,-z'
'-y,x+1/2,z+1/2'
'y,-x+1/2,-z+1/2'
'-x+1/2,-y+1/2,z'
'x+1/2,y+1/2,-z'
'y+1/2,-x,z+1/2'
'-y+1/2,x,-z+1/2'
loop_
_atom_site_label
_atom_site_type_symbol
_atom_site_fract_x
_atom_site_fract_y
_atom_site_fract_z
Dy1 Dy 0.250 0.250 0.250
Tm1 Tm 0.085 0.652 0.139
Ge1 Ge 0.032 0.615 0.642
```



(16)
Density functional theory data (PBE) for a geometry-optimized DyTmGe2 structure.

The structure in CIF format:
```
data_DyTmGe2
_symmetry_space_group_name_H-M 'P 4/m m m'
_symmetry_Int_Tables_number 123
_symmetry_space_group_name_Hall '-P 4 2'
_cell_length_a 4.727
_cell_length_b 4.727
_cell_length_c 3.981
_cell_angle_alpha 90.00
_cell_angle_beta 90.00
_cell_angle_gamma 90.00
loop_
_atom_site_label
_atom_site_type_symbol
_atom_site_fract_x
_atom_site_fract_y
_atom_site_fract_z
Dy1 Dy 0.000 0.000 0.000
Tm1 Tm 0.500 0.500 0.000
Ge1 Ge 0.000 0.500 0.500
```



(17)
Density functional theory data (PBE) for a geometry-optimized DyTm2Zn2Ge2 structure.

The structure in CIF format:
```
data_DyTm2Zn2Ge2
_symmetry_space_group_name_H-M 'R -3 m'
_symmetry_Int_Tables_number 166
_symmetry_space_group_name_Hall '-R 3 2"'
_cell_length_a 4.1078
_cell_length_b 4.1078
_cell_length_c 32.7656
_cell_angle_alpha 90.00
_cell_angle_beta 90.00
_cell_angle_gamma 120.00
loop_
_atom_site_label
_atom_site_type_symbol
_atom_site_fract_x
_atom_site_fract_y
_atom_site_fract_z
Dy1 Dy 0.0000 0.0000 0.0000
Tm1 Tm 0.0000 0.0000 0.1246
Zn1 Zn 0.0000 0.0000 0.3894
Ge1 Ge 0.0000 0.0000 0.2626
```



(18)
Density functional theory data (PBE) for a geometry-optimized DyTmZnGe structure.

The structure in CIF format:
```
data_DyTmZnGe
_symmetry_space_group_name_H-M 'F -4 3 m'
_symmetry_Int_Tables_number 216
_symmetry_space_group_name_Hall 'F -4 2 3'
_cell_length_a 7.046
_cell_length_b 7.046
_cell_length_c 7.046
_cell_angle_alpha 90.00
_cell_angle_beta 90.00
_cell_angle_gamma 90.00
loop_
_atom_site_label
_atom_site_type_symbol
_atom_site_fract_x
_atom_site_fract_y
_atom_site_fract_z
Dy1 Dy 0.000 0.000 0.000
Tm1 Tm 0.000 0.000 0.500
Zn1 Zn 0.250 0.250 0.750
Ge1 Ge 0.250 0.250 0.250
```

Properties
Energy above the lowest structure with this stoichiometry: 39 kJ/mol of formula units



(19)
Density functional theory data (PBE) for a geometry-optimized DyTmZnGe structure.

The structure in CIF format:
```
data_DyTmZnGe
_symmetry_space_group_name_H-M 'A m m 2'
_symmetry_Int_Tables_number 38
_symmetry_space_group_name_Hall 'A 2 -2'
_cell_length_a 4.082
_cell_length_b 4.161
_cell_length_c 10.801
_cell_angle_alpha 90.00
_cell_angle_beta 90.00
_cell_angle_gamma 90.00
loop_
_atom_site_label
_atom_site_type_symbol
_atom_site_fract_x
_atom_site_fract_y
_atom_site_fract_z
Dy1 Dy 0.000 0.000 0.000
Tm1 Tm 0.500 0.000 0.282
Zn1 Zn 0.500 0.000 0.567
Ge1 Ge 0.000 0.000 0.720
```

Properties
Energy above the lowest structure with this stoichiometry: 0 kJ/mol of formula units



(20)
Density functional theory data (PBE) for a geometry-optimized DyUGe2 structure.

The structure in CIF format:
```
data_DyUGe2
_symmetry_space_group_name_H-M 'R -3 m'
_symmetry_Int_Tables_number 166
_symmetry_space_group_name_Hall '-R 3 2"'
_cell_length_a 4.1447
_cell_length_b 4.1447
_cell_length_c 19.8792
_cell_angle_alpha 90.00
_cell_angle_beta 90.00
_cell_angle_gamma 120.00
loop_
_atom_site_label
_atom_site_type_symbol
_atom_site_fract_x
_atom_site_fract_y
_atom_site_fract_z
Dy1 Dy 0.0000 0.0000 0.0000
U1 U 0.0000 0.0000 0.5000
Ge1 Ge 0.0000 0.0000 0.2450
```

Properties
Energy above the lowest structure with this stoichiometry: 0 kJ/mol of formula units



Number 1: ΔE_f -0.4760 eV/atom. Number 2: ΔE_f -0.2408 eV/atom. Number 3: ΔE_f -0.4355 eV/atom. Number 4: ΔE_f -0.4824 eV/atom. Number 5: ΔE_f -0.2887 eV/atom. Number 6: ΔE_f 0.2126 eV/atom. Number 7: ΔE_f -0.5929 eV/atom. Number 8: ΔE_f -0.4365 eV/atom. Number 9: ΔE_f -0.6358 eV/atom. Number 10: ΔE_f -0.8714 eV/atom. Number 11: ΔE_f -0.8548 eV/atom. Number 12: ΔE_f -0.6314 eV/atom. Number 13: ΔE_f -0.5925 eV/atom. Number 14: ΔE_f -0.2646 eV/atom. Number 15: ΔE_f -0.5645 eV/atom. Number 16: ΔE_f -0.6235 eV/atom. Number 17: ΔE_f -0.4213 eV/atom. Number 18: ΔE_f -0.5160 eV/atom. Number 19: ΔE_f -0.6173 eV/atom. Number 20: ΔE_f -0.3789 eV/atom.